No. 1
This record from Alexandria describes a PBEsol-optimized structure of TaZn2Rh. The functional is SCAN.

Output
**DOS(E_F)**: 0.57 states/eV/atom
**VASP energy**: -32.035 eV/atom
**E_form**: -0.189 eV/atom

abc: 2.9543 2.9543 6.5371
angles: 90.00 90.00 90.00
Closest atoms and distances in Å follow each position.
Fractional positions:
Ta (0.0000, 0.0000, 0.0000)  8 Zn 2.76, 4 Ta 2.95
Zn (0.5000, 0.5000, 0.2764)  4 Rh 2.55, 4 Ta 2.76
Zn (0.5000, 0.5000, 0.7236)  4 Rh 2.55, 4 Ta 2.76
Rh (0.0000, 0.0000, 0.5000)  8 Zn 2.55


No. 2
This record from Alexandria describes a PBEsol-optimized structure of MgTiIn2B. The functional is SCAN.

Output
**DOS(E_F)**: 0.49 states/eV/atom
**VASP energy**: -18.792 eV/atom
**E_form**: 0.249 eV/atom

abc: 4.6446 4.6446 4.3559
angles: 90.00 90.00 90.00
Closest atoms and distances in Å follow each position.
Fractional positions:
Mg (0.0000, 0.0000, 0.0000)  8 In 3.18, 4 Ti 3.28
Ti (0.5000, 0.5000, 0.0000)  2 B 2.18
In (0.0000, 0.5000, 0.5000)  2 B 2.32
In (0.5000, 0.0000, 0.5000)  2 B 2.32
B (0.5000, 0.5000, 0.5000)  2 Ti 2.18, 4 In 2.32


No. 3
This record from Alexandria describes a PBEsol-optimized structure of LiFeP. The functional is SCAN.

Output
**DOS(E_F)**: 0.54 states/eV/atom
**VASP energy**: -10.806 eV/atom
**E_form**: -0.500 eV/atom

abc: 6.0761 6.0761 3.6884
angles: 90.00 90.00 145.25
Closest atoms and distances in Å follow each position.
Fractional positions:
Li (0.0851, 0.9149, 0.7500)  4 Fe 2.64-2.65, 4 P 2.68, 2 Li 2.70
Li (0.9149, 0.0851, 0.2500)  4 Fe 2.64-2.65, 4 P 2.68, 2 Li 2.70
Fe (0.2496, 0.7504, 0.2500)  4 P 2.17-2.20
Fe (0.7504, 0.2496, 0.7500)  4 P 2.17-2.20
P (0.3532, 0.6468, 0.7500)  4 Fe 2.17-2.20
P (0.6468, 0.3532, 0.2500)  4 Fe 2.17-2.20


No. 4
This record from Alexandria describes a PBEsol-optimized structure of La2SiCl. The functional is SCAN.

Output
**Formation energy from raw total energies**: -537 kJ/mol of formula units
**DOS(E_F)**: 0.38 states/eV/atom
**VASP energy**: -27.441 eV/atom

abc: 4.2270 4.2270 5.9108
angles: 90.00 90.00 90.00
Closest atoms and distances in Å follow each position.
Fractional positions:
La (0.0000, 0.0000, 0.0000)  2 Si 2.96, 4 Cl 2.99
La (0.5000, 0.5000, 0.5000)  2 Cl 2.96, 4 Si 2.99
Si (0.0000, 0.0000, 0.5000)  6 La 2.96-2.99
Cl (0.5000, 0.5000, 0.0000)  6 La 2.96-2.99


No. 5
This record from Alexandria describes a PBEsol-optimized structure of Sn3RhN. The functional is SCAN.

Output
**Formation energy from raw total energies**: 437 kJ/mol of formula units
**DOS(E_F)**: 0.61 states/eV/atom
**VASP energy**: -29.260 eV/atom

abc: 4.9576 4.9576 4.9576
angles: 90.00 90.00 90.00
Closest atoms and distances in Å follow each position.
Fractional positions:
Sn (0.0000, 0.0000, 0.5000)  2 Rh 2.48
Sn (0.0000, 0.5000, 0.0000)  2 Rh 2.48
Sn (0.5000, 0.0000, 0.0000)  2 Rh 2.48
Rh (0.0000, 0.0000, 0.0000)  6 Sn 2.48
N (0.5000, 0.5000, 0.5000)  12 Sn 3.51


No. 6
This record from Alexandria describes a PBEsol-optimized structure of Ca3Cr3P4O16. The functional is SCAN.

Output
**Formation energy from raw total energies**: -6931 kJ/mol of formula units
**DOS(E_F)**: 0.00 states/eV/atom
**VASP energy**: -11.434 eV/atom

abc: 8.9246 8.9934 9.8344
angles: 104.57 106.38 109.85
Closest atoms and distances in Å follow each position.
Fractional positions:
Ca (0.0225, 0.4972, 0.3018)  6 O 2.29-2.50
Ca (0.1789, 0.1522, 0.7121)  6 O 2.30-2.57
Ca (0.2295, 0.2150, 0.2086)  7 O 2.36-2.56
Ca (0.7705, 0.7850, 0.7914)  7 O 2.36-2.56
Ca (0.8211, 0.8478, 0.2879)  6 O 2.30-2.57
Ca (0.9775, 0.5028, 0.6982)  6 O 2.29-2.50
Cr (0.4434, 0.6895, 0.9170)  4 O 2.00-2.07
Cr (0.4500, 0.6969, 0.3882)  4 O 1.98-2.01
Cr (0.4496, 0.9804, 0.2292)  4 O 1.97-2.00
Cr (0.5504, 0.0196, 0.7708)  4 O 1.97-2.00
Cr (0.5500, 0.3031, 0.6118)  4 O 1.98-2.01
Cr (0.5566, 0.3105, 0.0830)  4 O 2.00-2.07
P (0.2349, 0.4365, 0.0136)  4 O 1.54-1.58
P (0.2353, 0.9192, 0.8898)  4 O 1.54-1.56
P (0.2602, 0.9393, 0.4444)  4 O 1.51-1.58
P (0.3145, 0.4898, 0.5764)  4 O 1.52-1.57
P (0.6855, 0.5102, 0.4236)  4 O 1.52-1.57
P (0.7398, 0.0607, 0.5556)  4 O 1.51-1.58
P (0.7647, 0.0808, 0.1102)  4 O 1.54-1.56
P (0.7651, 0.5635, 0.9864)  4 O 1.54-1.58
O (0.0573, 0.9064, 0.7988)  1 P 1.54
O (0.0959, 0.9299, 0.4648)  1 P 1.51
O (0.1200, 0.3809, 0.8425)  1 P 1.54
O (0.1307, 0.4647, 0.5518)  1 P 1.52
O (0.1351, 0.4052, 0.1161)  1 P 1.54
O (0.2384, 0.7435, 0.8517)  1 P 1.54
O (0.2625, 0.7628, 0.4049)  1 P 1.54
O (0.2842, 0.0032, 0.0641)  1 P 1.55
O (0.2900, 0.0185, 0.3262)  1 P 1.55
O (0.3248, 0.3122, 0.0111)  1 P 1.58
O (0.3298, 0.4824, 0.4196)  1 P 1.57
O (0.3432, 0.3398, 0.6125)  1 P 1.56
O (0.3752, 0.6262, 0.0826)  1 P 1.56
O (0.3756, 0.0420, 0.8528)  1 P 1.56
O (0.4189, 0.0680, 0.6029)  1 P 1.58
O (0.4580, 0.6637, 0.7070)  1 P 1.56
O (0.5420, 0.3363, 0.2930)  1 P 1.56
O (0.5811, 0.9320, 0.3971)  1 P 1.58
O (0.6244, 0.9580, 0.1472)  1 P 1.56
O (0.6248, 0.3738, 0.9174)  1 P 1.56
O (0.6568, 0.6602, 0.3875)  1 P 1.56
O (0.6702, 0.5176, 0.5804)  1 P 1.57
O (0.6752, 0.6878, 0.9889)  1 P 1.58
O (0.7100, 0.9815, 0.6738)  1 P 1.55
O (0.7158, 0.9968, 0.9359)  1 P 1.55
O (0.7375, 0.2372, 0.5951)  1 P 1.54
O (0.7616, 0.2565, 0.1483)  1 P 1.54
O (0.8649, 0.5948, 0.8839)  1 P 1.54
O (0.8693, 0.5353, 0.4482)  1 P 1.52
O (0.8800, 0.6191, 0.1575)  1 P 1.54
O (0.9041, 0.0701, 0.5352)  1 P 1.51
O (0.9427, 0.0936, 0.2012)  1 P 1.54


No. 7
This record from Alexandria describes a PBEsol-optimized structure of Li2AgPb. The functional is SCAN.

Output
**DOS(E_F)**: 0.33 states/eV/atom
**VASP energy**: -28.277 eV/atom
**E_form**: -0.295 eV/atom

abc: 4.5573 4.5573 3.3995
angles: 90.00 90.00 90.00
Closest atoms and distances in Å follow each position.
Fractional positions:
Li (0.0000, 0.5000, 0.0000)  4 Pb 2.84, 4 Ag 2.84
Li (0.5000, 0.0000, 0.0000)  4 Pb 2.84, 4 Ag 2.84
Ag (0.0000, 0.0000, 0.5000)  8 Li 2.84
Pb (0.5000, 0.5000, 0.5000)  8 Li 2.84


No. 8
This record from Alexandria describes a PBEsol-optimized structure of BaSr. The functional is SCAN.

Output
**DOS(E_F)**: 1.19 states/eV/atom
**VASP energy**: -30.891 eV/atom
**E_form**: 0.021 eV/atom

abc: 4.7852 4.7852 4.7852
angles: 90.00 90.00 90.00
Closest atoms and distances in Å follow each position.
Fractional positions:
Ba (0.0000, 0.0000, 0.0000)  8 Sr 4.14
Sr (0.5000, 0.5000, 0.5000)  8 Ba 4.14


No. 9
This record from Alexandria describes a PBEsol-optimized structure of Re2Cl. The functional is SCAN.

Output
**Formation energy from raw total energies**: 81 kJ/mol of formula units
**DOS(E_F)**: 0.47 states/eV/atom
**VASP energy**: -49.779 eV/atom

abc: 6.0944 6.0944 6.0944
angles: 152.24 151.56 40.16
Closest atoms and distances in Å follow each position.
Fractional positions:
Re (0.1878, 0.1878, 0.0000)  4 Re 2.53, 2 Cl 2.60
Re (0.8122, 0.8122, 0.0000)  4 Re 2.53, 2 Cl 2.60
Cl (0.0000, 0.5000, 0.5000)  4 Re 2.60


No. 10
This record from Alexandria describes a PBEsol-optimized structure of YSnMo2N. The functional is SCAN.

Output
**Formation energy from raw total energies**: 999 kJ/mol of formula units
**DOS(E_F)**: 1.10 states/eV/atom
**VASP energy**: -26.495 eV/atom

abc: 5.0124 5.0124 4.0187
angles: 90.00 90.00 90.00
Closest atoms and distances in Å follow each position.
Fractional positions:
Y (0.0000, 0.0000, 0.0000)  2 N 2.01
Sn (0.5000, 0.5000, 0.5000)  8 Mo 3.21, 4 N 3.54
Mo (0.0000, 0.5000, 0.0000)  2 Y 2.51
Mo (0.5000, 0.0000, 0.0000)  2 Y 2.51
N (0.0000, 0.0000, 0.5000)  2 Y 2.01


No. 11
This record from Alexandria describes a PBEsol-optimized structure of YNbGeRu2. The functional is SCAN.

Output
**DOS(E_F)**: 0.64 states/eV/atom
**VASP energy**: -28.806 eV/atom
**E_form**: 1.137 eV/atom

abc: 4.6141 4.6141 5.3221
angles: 90.00 90.00 90.00
Closest atoms and distances in Å follow each position.
Fractional positions:
Y (0.0000, 0.0000, 0.0000)  2 Nb 2.66
Nb (0.0000, 0.0000, 0.5000)  4 Ru 2.31
Ge (0.5000, 0.5000, 0.0000)  4 Y 3.26, 8 Ru 3.52
Ru (0.0000, 0.5000, 0.5000)  2 Nb 2.31
Ru (0.5000, 0.0000, 0.5000)  2 Nb 2.31


No. 12
This record from Alexandria describes a PBEsol-optimized structure of RuPt3W. The functional is SCAN.

Output
**DOS(E_F)**: 1.13 states/eV/atom
**VASP energy**: -60.996 eV/atom
**E_form**: 2.023 eV/atom

abc: 4.6447 4.6447 4.6447
angles: 90.00 90.00 90.00
Closest atoms and distances in Å follow each position.
Fractional positions:
Ru (0.0000, 0.0000, 0.0000)  6 Pt 2.32
Pt (0.0000, 0.0000, 0.5000)  2 Ru 2.32
Pt (0.0000, 0.5000, 0.0000)  2 Ru 2.32
Pt (0.5000, 0.0000, 0.0000)  2 Ru 2.32
W (0.5000, 0.5000, 0.5000)  12 Pt 3.28